Ba3Se: optimized geometry, PBE-GGA.

Summary:
* space-group type: Pm-3n
* E_tot: -2.71 eV per atom

Cell lengths 7.1102, 7.1102, 7.1102 Å; angles 90.00, 90.00, 90.00 degrees
Atoms (fractional coordinates):
Ba: 0.7500 0.5000 0.0000
Ba: 0.0000 0.2500 0.5000
Ba: 0.0000 0.7500 0.5000
Se: 0.0000 0.0000 0.0000
Se: 0.5000 0.5000 0.5000
Ba: 0.2500 0.5000 0.0000
Ba: 0.5000 0.0000 0.7500
Ba: 0.5000 0.0000 0.2500



HoTmMgNi: optimized geometry, PBE-GGA.

Summary:
* space-group type: F-43m
* formation enthalpy at 0 K: -0.131 eV/atom
* E_tot: -4.24 eV per atom

Cell lengths 5.0007, 5.0007, 5.0007 Å; angles 60.00, 60.00, 60.00 degrees
Atoms (fractional coordinates):
Ho: 0.7500 0.7500 0.7500
Tm: 0.2500 0.2500 0.2500
Ni: 0.0000 0.0000 0.0000
Mg: 0.5000 0.5000 0.5000



LaGa4NiRu2: optimized geometry, PBE-GGA.

Summary:
* space-group type: R-3m
* formation enthalpy at 0 K: -0.432 eV/atom
* E_tot: -5.60 eV per atom

Cell lengths 4.2422, 4.2422, 9.2103 Å; angles 76.69, 76.69, 60.00 degrees
Atoms (fractional coordinates):
Ni: 0.5000 0.5000 0.5000
Ga: 0.4058 0.4058 0.7827
Ru: 0.7717 0.7717 0.6850
La: 0.0000 0.0000 0.0000
Ru: 0.2283 0.2283 0.3150
Ga: 0.1320 0.1320 0.6040
Ga: 0.8680 0.8680 0.3960
Ga: 0.5942 0.5942 0.2173



NaPa2Mo: optimized geometry, PBE-GGA.

Summary:
* space-group type: R-3m
* formation enthalpy at 0 K: 0.716 eV/atom
* E_tot: -7.07 eV per atom

Cell lengths 3.7878, 3.7878, 10.6661 Å; angles 79.77, 79.77, 60.00 degrees
Atoms (fractional coordinates):
Pa: 0.8850 0.8850 0.3449
Pa: 0.1150 0.1150 0.6551
Mo: 0.5000 0.5000 0.5000
Na: 0.0000 0.0000 0.0000



YCr2Co: optimized geometry, PBE-GGA.

Summary:
* space-group type: Pmmm
* formation enthalpy at 0 K: 0.367 eV/atom
* E_tot: -7.84 eV per atom

Cell lengths 3.3537, 4.1446, 4.6878 Å; angles 90.00, 90.00, 90.00 degrees
Atoms (fractional coordinates):
Cr: 0.0000 0.0000 0.0000
Y: 0.5000 0.0000 0.5000
Cr: 0.5000 0.5000 0.0000
Co: 0.0000 0.5000 0.5000



Pr12Nd5Y: optimized geometry, PBE-GGA.

Summary:
* space-group type: Cmmm
* formation enthalpy at 0 K: 0.012 eV/atom
* E_tot: -4.86 eV per atom

Cell lengths 15.6999, 11.0939, 5.2360 Å; angles 90.00, 90.00, 45.00 degrees
Atoms (fractional coordinates):
Pr: 0.0006 0.6673 0.0000
Pr: 0.1669 0.3336 0.5000
Pr: 0.8331 0.6664 0.5000
Pr: 0.3332 0.0000 0.0000
Nd: 0.6668 0.6664 0.0000
Pr: 0.6668 0.0000 0.0000
Pr: 0.5004 0.6666 0.5000
Nd: 0.5000 0.0000 0.5000
Pr: 0.6678 0.3328 0.0000
Pr: 0.1654 0.0000 0.5000
Pr: 0.4996 0.3334 0.5000
Pr: 0.8346 0.0000 0.5000
Nd: 0.8339 0.3322 0.5000
Y: 0.0000 0.0000 0.0000
Pr: 0.3322 0.6672 0.0000
Pr: 0.9994 0.3327 0.0000
Nd: 0.1661 0.6678 0.5000
Nd: 0.3332 0.3336 0.0000